4
Lattice="-1.1127 -4.1993 -2.2210 3.0855 -1.9348 -3.2468 2.4619 -4.0670 1.0971" Properties=species:S:1:pos:R:3 comment="GGA-PBE TbTePd2, optimized geometry" polymorph_energy_mev_per_atom=16 n_ef_per_ev_atom=0.500 e_form_raw_mev_per_atom=-733 m_tot_mub_per_fu=0.00 sg="No. 225" pbc="T T T"
Te 2.2173 -5.1005 -2.1854
Tb 0.0000 0.0000 0.0000
Pd 1.1086 -2.5503 -1.0927
Pd 3.3259 -7.6508 -3.2781